(1)
A plane-wave DFT calculation with PBE was carried out for a relaxed K4RuW crystal.

abc: 6.640 6.640 6.640
angles: 60.00 60.00 60.00
Fractional positions:
K 0.375 0.375 0.874
K 0.375 0.375 0.375
K 0.375 0.874 0.375
K 0.874 0.375 0.375
W 0.000 0.000 0.000
Ru 0.750 0.750 0.750

Results
SG: F-43m (216)
Size of the total moment in μB per atom: 1.09
Energy of formation from the pure elements in eV per atom: 1.929
E in eV per atom: -2.507

***

(2)
A plane-wave DFT calculation with PBE was carried out for a relaxed Tb2YTl2Zn2 crystal.

abc: 4.734 4.734 9.603
angles: 75.73 75.73 60.00
Fractional positions:
Zn 0.607 0.607 0.178
Zn 0.393 0.393 0.822
Tb 0.873 0.873 0.380
Tb 0.127 0.127 0.620
Y 0.000 0.000 0.000
Tl 0.261 0.261 0.216
Tl 0.739 0.739 0.784

Results
SG: R-3m (166)
Size of the total moment in μB per atom: 0.00
Energy of formation from the pure elements in eV per atom: -0.165
E in eV per atom: -3.452

***

(3)
A plane-wave DFT calculation with PBE was carried out for a relaxed AlZn4Au7 crystal.

abc: 4.871 8.807 5.901
angles: 78.98 65.62 73.95
Fractional positions:
Au 0.074 0.689 0.163
Au 0.500 0.000 0.000
Au 0.210 0.092 0.489
Au 0.926 0.311 0.837
Au 0.363 0.528 0.745
Au 0.637 0.472 0.255
Au 0.790 0.908 0.511
Zn 0.255 0.334 0.157
Zn 0.411 0.772 0.406
Zn 0.589 0.228 0.594
Zn 0.745 0.666 0.843
Al 0.000 0.000 0.000

Results
SG: C2/m (12)
Size of the total moment in μB per atom: 0.00
Energy of formation from the pure elements in eV per atom: -0.107
E in eV per atom: -2.755

***

(4)
A plane-wave DFT calculation with PBE was carried out for a relaxed Ce12AlIn3 crystal.

abc: 4.777 4.777 19.076
angles: 90.00 90.00 90.00
Fractional positions:
Ce 0.000 0.500 0.627
Ce 0.500 0.500 0.500
Ce 0.000 0.500 0.881
Ce 0.500 0.000 0.119
Ce 0.000 0.500 0.373
Ce 0.500 0.500 0.754
Ce 0.500 0.000 0.627
Ce 0.500 0.500 0.000
Ce 0.000 0.500 0.119
Ce 0.500 0.500 0.246
Ce 0.500 0.000 0.881
Ce 0.500 0.000 0.373
In 0.000 0.000 0.500
In 0.000 0.000 0.753
In 0.000 0.000 0.247
Al 0.000 0.000 0.000

Results
SG: P4/mmm (123)
Size of the total moment in μB per atom: 0.70
Energy of formation from the pure elements in eV per atom: -0.183
E in eV per atom: -5.381

***

(5)
A plane-wave DFT calculation with PBE was carried out for a relaxed MoRuW3 crystal.

abc: 4.634 4.634 4.634
angles: 90.00 90.00 90.00
Fractional positions:
Ru 0.000 0.000 0.000
W 0.500 0.000 0.000
W 0.000 0.000 0.500
W 0.000 0.500 0.000
Mo 0.500 0.500 0.500

Results
Relative energy among the computed polymorphs in meV per atom: 0.0
SG: Pm-3m (221)
Size of the total moment in μB per atom: 0.00
Energy of formation from the pure elements in eV per atom: 2.037
E in eV per atom: -9.756

***

(6)
A plane-wave DFT calculation with PBE was carried out for a relaxed RbLi6Tl12 crystal.

abc: 8.369 8.369 8.369
angles: 104.70 104.70 104.70
Fractional positions:
Tl 0.422 0.422 0.162
Tl 0.500 0.119 0.881
Tl 0.500 0.881 0.119
Tl 0.578 0.838 0.578
Tl 0.422 0.162 0.422
Tl 0.578 0.578 0.838
Tl 0.881 0.500 0.119
Tl 0.881 0.119 0.500
Tl 0.162 0.422 0.422
Tl 0.119 0.500 0.881
Tl 0.119 0.881 0.500
Tl 0.838 0.578 0.578
Rb 0.000 0.000 0.000
Li 0.262 0.706 0.262
Li 0.738 0.738 0.294
Li 0.262 0.262 0.706
Li 0.738 0.294 0.738
Li 0.294 0.738 0.738
Li 0.706 0.262 0.262

Results
SG: R-3m (166)
Size of the total moment in μB per atom: 0.00
Energy of formation from the pure elements in eV per atom: -0.098
E in eV per atom: -2.247

***

(7)
A plane-wave DFT calculation with PBE was carried out for a relaxed La3RuBrCl crystal.

abc: 4.179 9.496 10.027
angles: 93.19 90.00 90.00
Fractional positions:
La 0.750 0.413 0.145
La 0.250 0.587 0.855
La 0.250 0.174 0.858
La 0.750 0.826 0.142
La 0.250 0.654 0.419
La 0.750 0.346 0.581
Cl 0.750 0.868 0.430
Cl 0.250 0.132 0.570
Ru 0.750 0.376 0.848
Ru 0.250 0.624 0.152
Br 0.250 0.109 0.160
Br 0.750 0.891 0.840

Results
E_form (uncorrected) in eV/f.u.: -6.7
SG: P2_1/m (11)
Size of the total moment in μB per atom: 0.12
E in eV per atom: -5.720

***

(8)
A plane-wave DFT calculation with PBE was carried out for a relaxed La2CuGe3 crystal.

abc: 4.370 4.309 7.296
angles: 90.00 90.00 90.00
Fractional positions:
Cu 0.500 0.500 0.325
Ge 0.500 0.000 0.838
Ge 0.500 0.500 0.653
Ge 0.500 0.000 0.183
La 0.000 0.000 0.505
La 0.000 0.500 0.996

Results
Relative energy among the computed polymorphs in meV per atom: 26.5
SG: Pmm2 (25)
Size of the total moment in μB per atom: 0.03
Energy of formation from the pure elements in eV per atom: -0.720
E in eV per atom: -5.354

***

(9)
A plane-wave DFT calculation with PBE was carried out for a relaxed NdPu2Ru2 crystal.

abc: 7.335 7.335 5.550
angles: 112.14 112.14 93.89
Fractional positions:
Pu 0.409 0.198 0.053
Pu 0.198 0.409 0.553
Pu 0.802 0.591 0.447
Pu 0.591 0.802 0.947
Ru 0.572 0.428 0.750
Ru 0.428 0.572 0.250
Ru 0.174 0.826 0.750
Ru 0.826 0.174 0.250
Nd 0.140 0.860 0.250
Nd 0.860 0.140 0.750

Results
Relative energy among the computed polymorphs in meV per atom: 82.2
SG: C2/c (15)
Size of the total moment in μB per atom: 2.02
Energy of formation from the pure elements in eV per atom: 0.020
E in eV per atom: -10.377

***

(10)
A plane-wave DFT calculation with PBE was carried out for a relaxed Pm6PrTl crystal.

abc: 5.020 5.020 10.406
angles: 90.00 90.00 90.00
Fractional positions:
Pm 0.500 0.000 0.242
Pm 0.000 0.500 0.758
Pm 0.500 0.500 0.000
Pm 0.500 0.500 0.500
Pm 0.500 0.000 0.758
Pm 0.000 0.500 0.242
Tl 0.000 0.000 0.000
Pr 0.000 0.000 0.500

Results
Relative energy among the computed polymorphs in meV per atom: 0.0
SG: P4/mmm (123)
Size of the total moment in μB per atom: 0.00
Energy of formation from the pure elements in eV per atom: -0.079
E in eV per atom: -4.535